No. 1
# Li2P2W

A relaxed Li2P2W crystal (PBE, Alexandria).

Geometry as POSCAR:
```
Li2P2W
1.0
6.281 0.000 0.000
0.000 6.281 0.000
0.000 0.000 3.609
Li P W
4 4 2
direct
0.164 0.336 0.000
0.336 0.836 0.000
0.664 0.164 0.000
0.836 0.664 0.000
0.142 0.642 0.500
0.358 0.142 0.500
0.642 0.858 0.500
0.858 0.358 0.500
0.000 0.000 0.500
0.500 0.500 0.500
```

## Properties
As for the density of states at the Fermi level: 3.399 states/eV per cell. Its space-group type is P4/mbm (127). The density comes out at 6.06 Mg/m³. Its calculated formation energy is -300 meV per atom. The calculation puts the total DFT energy (no corrections) at -58.2 eV/cell.

***

No. 2
# Li6P4W

A relaxed Li6P4W crystal (PBE, Alexandria).

Geometry as POSCAR:
```
Li6P4W
1.0
8.040 0.000 0.000
0.000 8.040 0.000
0.000 0.000 6.081
Li P W
12 8 2
direct
0.024 0.524 0.250
0.024 0.976 0.250
0.250 0.250 0.190
0.250 0.250 0.690
0.476 0.524 0.250
0.476 0.976 0.250
0.524 0.024 0.750
0.524 0.476 0.750
0.750 0.750 0.310
0.750 0.750 0.810
0.976 0.024 0.750
0.976 0.476 0.750
0.008 0.750 0.545
0.250 0.508 0.955
0.250 0.992 0.955
0.492 0.750 0.545
0.508 0.250 0.455
0.750 0.008 0.045
0.750 0.492 0.045
0.992 0.250 0.455
0.250 0.750 0.750
0.750 0.250 0.250
```

## Properties
Its space-group type is P4_2/nmc (137). The density comes out at 2.95 Mg/m³. Its calculated formation energy is -558 meV per atom. The calculation puts the total DFT energy (no corrections) at -104.4 eV/cell.

***

No. 3
# LiP3W

A relaxed LiP3W crystal (PBE, Alexandria).

Geometry as POSCAR:
```
LiP3W
1.0
4.740 0.000 0.000
0.000 4.740 0.000
0.000 0.000 4.740
Li P W
1 3 1
direct
0.000 0.000 0.000
0.000 0.500 0.500
0.500 0.000 0.500
0.500 0.500 0.000
0.500 0.500 0.500
```

## Properties
As for the density of states at the Fermi level: 3.211 states/eV per cell. Its space-group type is Pm-3m (221). The density comes out at 4.42 Mg/m³. Its calculated formation energy is 252 meV per atom. The calculation puts the total DFT energy (no corrections) at -29.8 eV/cell. The value obtained for the distance to the lowest polymorph of the same formula is 0.000 eV per atom.

***

No. 4
# Li2YP

A relaxed Li2YP crystal (PBE, Alexandria).

Geometry as POSCAR:
```
Li2YP
1.0
4.362 0.000 0.000
0.000 4.865 0.000
0.000 0.000 6.713
Li Y P
4 2 2
direct
0.000 0.000 0.000
0.000 0.500 0.246
0.500 0.000 0.746
0.500 0.500 0.500
0.000 0.500 0.780
0.500 0.000 0.280
0.000 0.000 0.552
0.500 0.500 0.052
```

## Properties
As for the density of states at the Fermi level: 1.870 states/eV per cell. Its space-group type is Imm2 (44). The density comes out at 3.12 Mg/m³. Its calculated formation energy is -467 meV per atom. The calculation puts the total DFT energy (no corrections) at -35.1 eV/cell.

***

No. 5
# Li2YP

A relaxed Li2YP crystal (PBE, Alexandria).

Geometry as POSCAR:
```
Li2YP
1.0
3.211 0.000 0.000
-1.606 2.781 0.000
0.000 0.000 28.546
Li Y P
6 3 3
direct
0.000 0.000 0.228
0.000 0.000 0.772
0.333 0.667 0.438
0.333 0.667 0.895
0.667 0.333 0.105
0.667 0.333 0.562
0.000 0.000 0.000
0.333 0.667 0.667
0.667 0.333 0.333
0.000 0.000 0.500
0.333 0.667 0.167
0.667 0.333 0.833
```

## Properties
As for the density of states at the Fermi level: 8.521 states/eV per cell. Its space-group type is R-3m (166). The density comes out at 2.61 Mg/m³. Its calculated formation energy is 49 meV per atom. The calculation puts the total DFT energy (no corrections) at -46.5 eV/cell.

***

No. 6
# LiYP

A relaxed LiYP crystal (PBE, Alexandria).

Geometry as POSCAR:
```
LiYP
1.0
6.477 0.000 0.000
0.000 6.477 0.000
0.000 0.000 6.477
Li Y P
4 4 4
direct
0.000 0.000 0.000
0.000 0.500 0.500
0.500 0.000 0.500
0.500 0.500 0.000
0.250 0.250 0.750
0.250 0.750 0.250
0.750 0.250 0.250
0.750 0.750 0.750
0.000 0.000 0.500
0.000 0.500 0.000
0.500 0.000 0.000
0.500 0.500 0.500
```

## Properties
As for the density of states at the Fermi level: 6.492 states/eV per cell. Its space-group type is F-43m (216). The density comes out at 3.10 Mg/m³. Its calculated formation energy is -403 meV per atom. The calculation puts the total DFT energy (no corrections) at -60.0 eV/cell.

***

- Look up the calculated formation energy of the fourth one.
  -467 meV per atom